! LaMgGe2Pd, optimized geometry, DFT PBE; values from VASP
&SYSTEM
  ibrav = 0, nat = 5, ntyp = 4
/
ATOMIC_SPECIES
La 138.91 La.upf
Mg 24.30 Mg.upf
Ge 72.64 Ge.upf
Pd 106.42 Pd.upf
CELL_PARAMETERS angstrom
-2.137 2.137 5.619
2.137 -2.137 5.619
2.137 2.137 -5.619
ATOMIC_POSITIONS crystal
La 0.000 0.000 0.000
Mg 0.750 0.250 0.500
Ge 0.388 0.388 0.000
Ge 0.612 0.612 0.000
Pd 0.250 0.750 0.500
! formation energy	-0.77	eV/atom
! V	103	Å³ per cell